Below is Ag5O4 after structural relaxation, with properties calculated at the PBE level.

abc: 2.9571 6.6101 6.6101
angles: 87.13 77.07 77.07
Site moments in Bohr magnetons follow the coordinates.
Atoms (fractional coordinates):
Ag  0.6905  0.3095  0.3095  0.08
Ag  0.3095  0.6905  0.6905  0.08
Ag  0.0000  0.0000  0.0000  0.43
Ag  0.0000  0.6905  0.3095  0.08
Ag  0.0000  0.3095  0.6905  0.08
O  0.6484  0.0000  0.7031  0.70
O  0.3516  0.2969  0.0000  0.70
O  0.3516  0.0000  0.2969  0.70
O  0.6484  0.7031  0.0000  0.70

Summary:
Energy relative to the elements, uncorrected in eV/atom: 0.35

---

Below is Ta2NbC after structural relaxation, with properties calculated at the PBE level.

abc: 3.0877 3.0877 7.6453
angles: 78.35 78.35 60.00
Atoms (fractional coordinates):
Nb  0.5000  0.5000  0.5000
C  0.0000  0.0000  0.0000
Ta  0.7236  0.7236  0.8293
Ta  0.2764  0.2764  0.1707

Summary:
DFT total energy in eV per atom: -11.085

---

Below is SnBi3Pb2 after structural relaxation, with properties calculated at the PBE level.

abc: 7.9168 7.9369 7.9369
angles: 120.45 99.60 99.60
Atoms (fractional coordinates):
Sn  0.2500  0.5903  0.4097
Sn  0.7500  0.4097  0.5903
Bi  0.0135  0.1943  0.3531
Bi  0.5135  0.3531  0.1943
Bi  0.0000  0.5000  0.0000
Bi  0.9865  0.8057  0.6469
Bi  0.5000  0.0000  0.5000
Bi  0.4865  0.6469  0.8057
Pb  0.2500  0.9213  0.0787
Pb  0.2500  0.2385  0.7615
Pb  0.7500  0.0787  0.9213
Pb  0.7500  0.7615  0.2385

Summary:
Excess energy over the best structure of this formula in the dataset in meV/atom: 34.0

---

Below is CdBiRhAu after structural relaxation, with properties calculated at the PBE level.

abc: 4.8433 4.8433 4.8433
angles: 60.00 60.00 60.00
Atoms (fractional coordinates):
Rh  0.5000  0.5000  0.5000
Au  0.0000  0.0000  0.0000
Bi  0.2500  0.2500  0.2500
Cd  0.7500  0.7500  0.7500

Summary:
DFT total energy in eV per atom: -3.834

---

Below is Se2IBr2 after structural relaxation, with properties calculated at the PBE level.

abc: 12.0600 12.0600 2.7604
angles: 90.00 90.00 90.00
Atoms (fractional coordinates):
I  0.0000  0.0000  0.0000
I  0.5000  0.5000  0.0000
Se  0.0669  0.5669  0.5000
Se  0.5669  0.9331  0.5000
Se  0.9331  0.4331  0.5000
Se  0.4331  0.0669  0.5000
Br  0.2609  0.7609  0.0000
Br  0.7609  0.7391  0.0000
Br  0.7391  0.2391  0.0000
Br  0.2391  0.2609  0.0000

Summary:
Excess energy over the best structure of this formula in the dataset in meV/atom: 0.0
Energy relative to the elements, uncorrected in eV/atom: 0.13

---

Below is Ta2VGa4 after structural relaxation, with properties calculated at the PBE level.

abc: 4.6695 4.6695 7.2918
angles: 71.33 71.33 90.00
Atoms (fractional coordinates):
V  0.0000  0.0000  0.0000
Ga  0.1907  0.1907  0.6186
Ga  0.8093  0.8093  0.3814
Ga  0.0000  0.5000  0.0000
Ga  0.5000  0.0000  0.0000
Ta  0.3973  0.3973  0.2053
Ta  0.6027  0.6027  0.7947

Summary:
DFT total energy in eV per atom: -5.875

---

Below is Ta2SiTc after structural relaxation, with properties calculated at the PBE level.

abc: 5.3704 5.3704 4.2651
angles: 66.59 66.59 34.79
Atoms (fractional coordinates):
Si  0.2288  0.2288  0.2711
Ta  0.0044  0.0044  0.9957
Ta  0.7618  0.7618  0.7381
Tc  0.5050  0.5050  0.4951

Summary:
Energy relative to the elements, uncorrected in eV/atom: -0.28

---

Below is BIF2 after structural relaxation, with properties calculated at the PBE level.

abc: 5.6213 5.6213 5.6227
angles: 60.01 60.01 90.00
Site moments in Bohr magnetons follow the coordinates.
Atoms (fractional coordinates):
I  0.0000  0.0000  0.0000  0.47
I  0.7500  0.2500  0.5000  0.47
B  0.5000  0.5000  0.0000  0.11
B  0.2500  0.7500  0.5000  0.11
F  0.3750  0.1250  0.2500  0.01
F  0.3750  0.6250  0.2500  0.02
F  0.3750  0.6250  0.7500  0.02
F  0.8750  0.6250  0.7500  0.02

Summary:
Excess energy over the best structure of this formula in the dataset in meV/atom: 1405.3
Energy relative to the elements, uncorrected in eV/atom: -0.44

---

Below is Cd8Hg2Pd after structural relaxation, with properties calculated at the PBE level.

abc: 4.8304 5.3121 10.1506
angles: 103.31 103.76 90.00
Atoms (fractional coordinates):
Cd  0.5736  0.5838  0.1472
Cd  0.3484  0.8629  0.6968
Cd  0.2479  0.3224  0.4957
Cd  0.0583  0.2298  0.1166
Cd  0.7521  0.6776  0.5043
Cd  0.6516  0.1371  0.3032
Cd  0.4264  0.4162  0.8528
Cd  0.9417  0.7702  0.8834
Hg  0.1621  0.7766  0.3242
Hg  0.8379  0.2234  0.6758
Pd  0.5000  0.0000  0.0000

Summary:
Excess energy over the best structure of this formula in the dataset in meV/atom: 0.0

---

Below is Ca4InHg2 after structural relaxation, with properties calculated at the PBE level.

abc: 5.3415 5.3415 9.2956
angles: 73.30 73.30 60.00
Atoms (fractional coordinates):
Ca  0.8738  0.8738  0.3785
Ca  0.1262  0.1262  0.6215
Ca  0.6227  0.6227  0.1318
Ca  0.3773  0.3773  0.8682
Hg  0.7496  0.7496  0.7513
Hg  0.2504  0.2504  0.2487
In  0.0000  0.0000  0.0000

Summary:
DFT total energy in eV per atom: -2.054

---

Below is Al2CoIr after structural relaxation, with properties calculated at the PBE level.

abc: 4.7785 4.7785 4.2581
angles: 72.47 72.47 35.15
Site moments in Bohr magnetons follow the coordinates.
Atoms (fractional coordinates):
Ir  0.2469  0.2469  0.1926  0.13
Co  0.5001  0.5001  0.5659  0.93
Al  0.9922  0.9922  0.0559  -0.01
Al  0.7610  0.7610  0.6855  -0.01

Summary:
Excess energy over the best structure of this formula in the dataset in meV/atom: 179.7

---

Below is Sr6As2SI3 after structural relaxation, with properties calculated at the PBE level.

abc: 7.8781 7.8781 8.2403
angles: 99.16 99.16 120.00
Atoms (fractional coordinates):
Sr  0.9328  0.6007  0.7984
Sr  0.7349  0.7349  0.2011
Sr  0.0672  0.3993  0.2016
Sr  0.6007  0.9328  0.7984
Sr  0.2651  0.2651  0.7989
Sr  0.3993  0.0672  0.2016
As  0.3332  0.6668  0.0000
As  0.6668  0.3332  0.0000
S  0.0000  0.0000  0.0000
I  0.1658  0.8342  0.5000
I  0.8342  0.1658  0.5000
I  0.5000  0.5000  0.5000

Summary:
Energy relative to the elements, uncorrected in eV/atom: -1.52

---

no.,M_tot (Bohr magnetons per cell),Fermi-level density of states (states/eV/f.u.)
1,3.87,3.3
2,0.00,2.2
3,0.00,3.2
4,0.00,1.5
5,0.00,5.2
6,0.00,3.9
7,0.00,2.4
8,1.79,3.1
9,0.00,2.3
10,0.00,4.6
11,1.01,2.3
12,0.00,3.8